Compound: HfHg2
Source: Alexandria
Functional: PBE
Structure: optimized geometry

Cell lengths 5.713, 5.713, 5.713 Å; angles 60.00, 60.00, 60.00 degrees
Site moments in Bohr magnetons follow the coordinates.
Positions (direct):
Hf1 0.000 0.000 0.000  0.43
Hf2 0.250 0.250 0.250  0.43
Hg1 0.125 0.625 0.625  0.00
Hg2 0.625 0.125 0.625  0.00
Hg3 0.625 0.625 0.625  0.00
Hg4 0.625 0.625 0.125  0.00

DFT total energy = -19.21 eV/cell
Energy of formation from the pure elements = 0.3171 eV per atom